[1]
# LiNd4Zn3, optimized geometry, DFT PBE-GGA
# * mass density: 6.358 Mg/m³
# * size of the total moment: 0.000 μB/f.u.
# * ΔH_f (0 K): -0.2242 eV per atom
# * Fermi-level density of states: 24.4 states/eV per cell
data_LiNd4Zn3
_chemical_formula_sum 'Li3 Nd12 Zn9'
_space_group_name_H-M_alt 'R -3 m'
_space_group_IT_number 166
_space_group_name_Hall '-R 3 2"'
_cell_length_a 5.2424
_cell_length_b 5.2424
_cell_length_c 25.6809
_cell_angle_alpha 90.00
_cell_angle_beta 90.00
_cell_angle_gamma 120.00
loop_
_atom_site_label
_atom_site_type_symbol
_atom_site_fract_x
_atom_site_fract_y
_atom_site_fract_z
Li1 Li 0.0000 0.0000 0.0000
Nd1 Nd 0.0000 0.0000 0.1272
Nd2 Nd 0.0000 0.0000 0.3776
Zn1 Zn 0.0000 0.0000 0.2539
Zn2 Zn 0.0000 0.0000 0.5000

***

[2]
# Li7NdZn5, optimized geometry, DFT PBE-GGA
# * mass density: 3.812 Mg/m³
# * size of the total moment: 0.000 μB/f.u.
# * ΔH_f (0 K): -0.1657 eV per atom
# * Fermi-level density of states: 11.8 states/eV per cell
data_Li7NdZn5
_chemical_formula_sum 'Li14 Nd2 Zn10'
_space_group_name_H-M_alt 'I m m 2'
_space_group_IT_number 44
_space_group_name_Hall 'I 2 -2'
_cell_length_a 5.211
_cell_length_b 9.279
_cell_length_c 9.367
_cell_angle_alpha 90.00
_cell_angle_beta 90.00
_cell_angle_gamma 90.00
loop_
_atom_site_label
_atom_site_type_symbol
_atom_site_fract_x
_atom_site_fract_y
_atom_site_fract_z
Li1 Li 0.000 0.000 0.000
Li2 Li 0.000 0.000 0.305
Li3 Li 0.000 0.282 0.146
Li4 Li 0.000 0.352 0.638
Li5 Li 0.000 0.500 0.919
Nd1 Nd 0.000 0.000 0.657
Zn1 Zn 0.000 0.500 0.358
Zn2 Zn 0.249 0.248 0.894

***

[3]
# Li2NdZn9, optimized geometry, DFT PBE-GGA
# * mass density: 6.294 Mg/m³
# * size of the total moment: 0.000 μB/f.u.
# * ΔH_f (0 K): -0.0942 eV per atom
# * Fermi-level density of states: 3.2 states/eV per cell
# * energy relative to the lowest polymorph listed for this composition: 0.1186 eV per atom
data_Li2NdZn9
_chemical_formula_sum 'Li2 Nd1 Zn9'
_space_group_name_H-M_alt 'P 6/m m m'
_space_group_IT_number 191
_space_group_name_Hall '-P 6 2'
_cell_length_a 8.7683
_cell_length_b 8.7683
_cell_length_c 2.9593
_cell_angle_alpha 90.00
_cell_angle_beta 90.00
_cell_angle_gamma 120.00
loop_
_atom_site_label
_atom_site_type_symbol
_atom_site_fract_x
_atom_site_fract_y
_atom_site_fract_z
Li1 Li 0.3333 0.6667 0.0000
Nd1 Nd 0.0000 0.0000 0.0000
Zn1 Zn 0.0000 0.5000 0.0000
Zn2 Zn 0.1847 0.3695 0.5000

***

[4]
# Li8NdZn4, optimized geometry, DFT PBE-GGA
# * mass density: 3.297 Mg/m³
# * size of the total moment: 0.000 μB/f.u.
# * ΔH_f (0 K): -0.1251 eV per atom
# * Fermi-level density of states: 11.4 states/eV per cell
data_Li8NdZn4
_chemical_formula_sum 'Li16 Nd2 Zn8'
_space_group_name_H-M_alt 'I 4/m m m'
_space_group_IT_number 139
_space_group_name_Hall '-I 4 2'
_cell_length_a 9.387
_cell_length_b 9.387
_cell_length_c 5.274
_cell_angle_alpha 90.00
_cell_angle_beta 90.00
_cell_angle_gamma 90.00
loop_
_atom_site_label
_atom_site_type_symbol
_atom_site_fract_x
_atom_site_fract_y
_atom_site_fract_z
Li1 Li 0.000 0.223 0.000
Li2 Li 0.000 0.349 0.500
Nd1 Nd 0.000 0.000 0.500
Zn1 Zn 0.250 0.250 0.250

***

[5]
# LiNdZn3, optimized geometry, DFT PBE-GGA
# * mass density: 5.789 Mg/m³
# * size of the total moment: 0.000 μB/f.u.
# * ΔH_f (0 K): -0.2099 eV per atom
# * Fermi-level density of states: 9.0 states/eV per cell
# * energy relative to the lowest polymorph listed for this composition: 0.0081 eV per atom
data_LiNdZn3
_chemical_formula_sum 'Li2 Nd2 Zn6'
_space_group_name_H-M_alt 'P 1 m 1'
_space_group_IT_number 6
_space_group_name_Hall 'P -2y'
_cell_length_a 4.332
_cell_length_b 12.071
_cell_length_c 4.366
_cell_angle_alpha 90.00
_cell_angle_beta 119.22
_cell_angle_gamma 90.00
loop_
_atom_site_label
_atom_site_type_symbol
_atom_site_fract_x
_atom_site_fract_y
_atom_site_fract_z
Li1 Li 0.000 0.219 0.000
Nd1 Nd 0.000 0.500 0.982
Nd2 Nd 0.333 0.000 0.677
Zn1 Zn 0.334 0.298 0.660
Zn2 Zn 0.666 0.146 0.342
Zn3 Zn 0.667 0.354 0.321

***

[6]
# Li3NdZn3, optimized geometry, DFT PBE-GGA
# * mass density: 4.368 Mg/m³
# * size of the total moment: 0.000 μB/f.u.
# * ΔH_f (0 K): -0.1702 eV per atom
# * Fermi-level density of states: 6.0 states/eV per cell
# * energy relative to the lowest polymorph listed for this composition: 0.0000 eV per atom
data_Li3NdZn3
_chemical_formula_sum 'Li6 Nd2 Zn6'
_space_group_name_H-M_alt 'P 63/m'
_space_group_IT_number 176
_space_group_name_Hall '-P 6c'
_cell_length_a 8.1053
_cell_length_b 8.1053
_cell_length_c 4.8276
_cell_angle_alpha 90.00
_cell_angle_beta 90.00
_cell_angle_gamma 120.00
loop_
_atom_site_label
_atom_site_type_symbol
_atom_site_fract_x
_atom_site_fract_y
_atom_site_fract_z
Li1 Li 0.0197 0.2352 0.2500
Nd1 Nd 0.3333 0.6667 0.7500
Zn1 Zn 0.0848 0.6003 0.2500

***

[7]
# LiNd3Zn, optimized geometry, DFT PBE-GGA
# * mass density: 6.036 Mg/m³
# * size of the total moment: 0.001 μB/f.u.
# * ΔH_f (0 K): -0.0867 eV per atom
# * Fermi-level density of states: 20.5 states/eV per cell
data_LiNd3Zn
_chemical_formula_sum 'Li4 Nd12 Zn4'
_space_group_name_H-M_alt 'C m c m'
_space_group_IT_number 63
_space_group_name_Hall '-C 2c 2'
_cell_length_a 5.247
_cell_length_b 20.134
_cell_length_c 5.261
_cell_angle_alpha 90.00
_cell_angle_beta 90.00
_cell_angle_gamma 90.00
loop_
_atom_site_label
_atom_site_type_symbol
_atom_site_fract_x
_atom_site_fract_y
_atom_site_fract_z
Li1 Li 0.000 0.157 0.250
Nd1 Nd 0.000 0.064 0.750
Nd2 Nd 0.000 0.250 0.750
Nd3 Nd 0.000 0.434 0.750
Zn1 Zn 0.000 0.341 0.250

***

[8]
# Li2NdZn9, optimized geometry, DFT PBE-GGA
# * mass density: 6.086 Mg/m³
# * size of the total moment: 0.000 μB/f.u.
# * ΔH_f (0 K): -0.2128 eV per atom
# * Fermi-level density of states: 14.9 states/eV per cell
# * energy relative to the lowest polymorph listed for this composition: 0.0000 eV per atom
data_Li2NdZn9
_chemical_formula_sum 'Li6 Nd3 Zn27'
_space_group_name_H-M_alt 'R -3 m'
_space_group_IT_number 166
_space_group_name_Hall '-R 3 2"'
_cell_length_a 5.2959
_cell_length_b 5.2959
_cell_length_c 25.1668
_cell_angle_alpha 90.00
_cell_angle_beta 90.00
_cell_angle_gamma 120.00
loop_
_atom_site_label
_atom_site_type_symbol
_atom_site_fract_x
_atom_site_fract_y
_atom_site_fract_z
Li1 Li 0.0000 0.0000 0.1434
Nd1 Nd 0.0000 0.0000 0.0000
Zn1 Zn 0.0000 0.0000 0.3345
Zn2 Zn 0.0000 0.0000 0.5000
Zn3 Zn 0.0067 0.5033 0.9134

***

[9]
# Li2NdZn3, optimized geometry, DFT PBE-GGA
# * mass density: 5.177 Mg/m³
# * size of the total moment: 0.000 μB/f.u.
# * ΔH_f (0 K): -0.1838 eV per atom
# * Fermi-level density of states: 13.2 states/eV per cell
# * energy relative to the lowest polymorph listed for this composition: 0.0233 eV per atom
data_Li2NdZn3
_chemical_formula_sum 'Li8 Nd4 Zn12'
_space_group_name_H-M_alt 'C m c m'
_space_group_IT_number 63
_space_group_name_Hall '-C 2c 2'
_cell_length_a 10.107
_cell_length_b 9.037
_cell_length_c 4.977
_cell_angle_alpha 90.00
_cell_angle_beta 90.00
_cell_angle_gamma 90.00
loop_
_atom_site_label
_atom_site_type_symbol
_atom_site_fract_x
_atom_site_fract_y
_atom_site_fract_z
Li1 Li 0.226 0.000 0.000
Nd1 Nd 0.000 0.302 0.250
Zn1 Zn 0.000 0.064 0.750
Zn2 Zn 0.187 0.264 0.750

***

[10]
# Li2Nd3Zn4, optimized geometry, DFT PBE-GGA
# * mass density: 5.918 Mg/m³
# * size of the total moment: 0.000 μB/f.u.
# * ΔH_f (0 K): -0.2057 eV per atom
# * Fermi-level density of states: 14.6 states/eV per cell
data_Li2Nd3Zn4
_chemical_formula_sum 'Li4 Nd6 Zn8'
_space_group_name_H-M_alt 'C 1 2/m 1'
_space_group_IT_number 12
_space_group_name_Hall '-C 2y'
_cell_length_a 10.689
_cell_length_b 4.731
_cell_length_c 8.933
_cell_angle_alpha 90.00
_cell_angle_beta 118.38
_cell_angle_gamma 90.00
loop_
_atom_site_label
_atom_site_type_symbol
_atom_site_fract_x
_atom_site_fract_y
_atom_site_fract_z
Li1 Li 0.118 0.000 0.286
Nd1 Nd 0.000 0.500 0.000
Nd2 Nd 0.166 0.000 0.672
Zn1 Zn 0.056 0.500 0.390
Zn2 Zn 0.226 0.000 0.059

***

[11]
# Li2Nd2Zn15, optimized geometry, DFT PBE-GGA
# * mass density: 6.756 Mg/m³
# * size of the total moment: 0.000 μB/f.u.
# * ΔH_f (0 K): -0.2731 eV per atom
# * Fermi-level density of states: 22.3 states/eV per cell
data_Li2Nd2Zn15
_chemical_formula_sum 'Li6 Nd6 Zn45'
_space_group_name_H-M_alt 'R -3 m'
_space_group_IT_number 166
_space_group_name_Hall '-R 3 2"'
_cell_length_a 9.1103
_cell_length_b 9.1103
_cell_length_c 13.1676
_cell_angle_alpha 90.00
_cell_angle_beta 90.00
_cell_angle_gamma 120.00
loop_
_atom_site_label
_atom_site_type_symbol
_atom_site_fract_x
_atom_site_fract_y
_atom_site_fract_z
Li1 Li 0.0000 0.0000 0.0976
Nd1 Nd 0.0000 0.0000 0.3393
Zn1 Zn 0.0000 0.2934 0.0000
Zn2 Zn 0.0000 0.5000 0.5000
Zn3 Zn 0.0059 0.5029 0.1530

***

[12]
# LiNd6Zn5, optimized geometry, DFT PBE-GGA
# * mass density: 6.567 Mg/m³
# * size of the total moment: 0.000 μB/f.u.
# * ΔH_f (0 K): -0.2584 eV per atom
# * Fermi-level density of states: 24.1 states/eV per cell
data_LiNd6Zn5
_chemical_formula_sum 'Li2 Nd12 Zn10'
_space_group_name_H-M_alt 'I m m m'
_space_group_IT_number 71
_space_group_name_Hall '-I 2 2'
_cell_length_a 5.215
_cell_length_b 7.408
_cell_length_c 15.702
_cell_angle_alpha 90.00
_cell_angle_beta 90.00
_cell_angle_gamma 90.00
loop_
_atom_site_label
_atom_site_type_symbol
_atom_site_fract_x
_atom_site_fract_y
_atom_site_fract_z
Li1 Li 0.000 0.000 0.000
Nd1 Nd 0.000 0.242 0.500
Nd2 Nd 0.000 0.253 0.169
Zn1 Zn 0.000 0.000 0.334
Zn2 Zn 0.000 0.500 0.000
Zn3 Zn 0.000 0.500 0.340